one:
This record from Alexandria via LeMat-Bulk describes a relaxed structure of NpH6. The functional is PBE-GGA.

It has space group Im-3m (No. 229), with a = 4.2359 Å, b = 4.2359 Å, c = 4.2359 Å, α = 90.00°, β = 90.00° and γ = 90.00°. The inequivalent atoms are Np at (0.0000, 0.0000, 0.0000) and H at (0.0000, 0.2500, 0.5000).

The value obtained for the total magnetic moment is 3.26 μB per formula unit.


two:
This record from Alexandria via LeMat-Bulk describes a relaxed structure of NpH6. The functional is PBE-GGA.

It has space group P6/mmm (No. 191), with a = 4.3095 Å, b = 4.3095 Å, c = 3.0993 Å, α = 90.00°, β = 90.00° and γ = 120.00°. The inequivalent atoms are Np at (0.0000, 0.0000, 0.0000) and H at (0.0000, 0.5000, 0.3515).

The value obtained for the total magnetic moment is 4.72 μB per formula unit.


Which of them is the least stable? Correct choice: two.


one:
This record from Alexandria via LeMat-Bulk describes a relaxed structure of Np2PH. The functional is PBE-GGA.

It has space group R-3m (No. 166, hexagonal axes), with a = 3.6865 Å, b = 3.6865 Å, c = 18.1356 Å, α = 90.00°, β = 90.00° and γ = 120.00°. The inequivalent atoms are Np at (0.0000, 0.0000, 0.2384), P at (0.0000, 0.0000, 0.0000) and H at (0.0000, 0.0000, 0.5000).

The value obtained for the total magnetic moment is 8.53 μB per formula unit.


two:
This record from Alexandria via LeMat-Bulk describes a relaxed structure of Np2PH. The functional is PBE-GGA.

It has space group C2/c (No. 15), with a = 6.3448 Å, b = 9.8349 Å, c = 4.6410 Å, α = 90.00°, β = 107.80° and γ = 90.00°. The inequivalent atoms are Np at (0.2256, 0.1270, 0.1429), P at (0.0000, 0.3661, 0.2500) and H at (0.0000, 0.0214, 0.7500).

The value obtained for the total magnetic moment is 8.39 μB per formula unit.


Which of them is the least stable? Correct choice: two.


one:
This record from Alexandria via LeMat-Bulk describes a relaxed structure of NpPaH2. The functional is PBE-GGA.

It has space group R-3m (No. 166, hexagonal axes), with a = 3.0975 Å, b = 3.0975 Å, c = 21.1033 Å, α = 90.00°, β = 90.00° and γ = 120.00°. The inequivalent atoms are Np at (0.0000, 0.0000, 0.0000), Pa at (0.0000, 0.0000, 0.5000) and H at (0.0000, 0.0000, 0.3959).

The value obtained for the total magnetic moment is 3.56 μB per formula unit.


two:
This record from Alexandria via LeMat-Bulk describes a relaxed structure of NpPaH2. The functional is PBE-GGA.

It has space group P4/mmm (No. 123), with a = 4.1070 Å, b = 4.1070 Å, c = 2.9195 Å, α = 90.00°, β = 90.00° and γ = 90.00°. The inequivalent atoms are Np at (0.0000, 0.0000, 0.0000), Pa at (0.5000, 0.5000, 0.0000) and H at (0.0000, 0.5000, 0.5000).

The value obtained for the total magnetic moment is 2.42 μB per formula unit.


Which of them is the least stable? Correct choice: two.


one:
This record from Alexandria via LeMat-Bulk describes a relaxed structure of NpH2Pd. The functional is PBE-GGA.

It has space group P4/mmm (No. 123), with a = 4.1223 Å, b = 4.1223 Å, c = 2.7597 Å, α = 90.00°, β = 90.00° and γ = 90.00°. The inequivalent atoms are Np at (0.0000, 0.0000, 0.0000), H at (0.0000, 0.5000, 0.5000) and Pd at (0.5000, 0.5000, 0.0000).

The value obtained for the total magnetic moment is 4.38 μB per formula unit.


two:
This record from Alexandria via LeMat-Bulk describes a relaxed structure of NpH2Pd. The functional is PBE-GGA.

It has space group R-3m (No. 166, hexagonal axes), with a = 2.9502 Å, b = 2.9502 Å, c = 18.7710 Å, α = 90.00°, β = 90.00° and γ = 120.00°. The inequivalent atoms are Np at (0.0000, 0.0000, 0.0000), H at (0.0000, 0.0000, 0.4099) and Pd at (0.0000, 0.0000, 0.5000).

The value obtained for the total magnetic moment is 3.25 μB per formula unit.


Which of them is the least stable? Correct choice: one.


one:
This record from Alexandria via LeMat-Bulk describes a relaxed structure of PuNpH2. The functional is PBE-GGA.

It has space group R3m (No. 160, hexagonal axes), with a = 2.9947 Å, b = 2.9947 Å, c = 20.2172 Å, α = 90.00°, β = 90.00° and γ = 120.00°. The inequivalent atoms are Pu at (0.0000, 0.0000, 0.0000), Np at (0.0000, 0.0000, 0.8288), H at (0.0000, 0.0000, 0.4156) and H at (0.0000, 0.0000, 0.5807).

The value obtained for the total magnetic moment is 1.36 μB per formula unit.


two:
This record from Alexandria via LeMat-Bulk describes a relaxed structure of PuNpH2. The functional is PBE-GGA.

It has space group P4/mmm (No. 123), with a = 4.1692 Å, b = 4.1692 Å, c = 2.8748 Å, α = 90.00°, β = 90.00° and γ = 90.00°. The inequivalent atoms are Pu at (0.0000, 0.0000, 0.0000), Np at (0.5000, 0.5000, 0.0000) and H at (0.0000, 0.5000, 0.5000).

The value obtained for the total magnetic moment is 1.55 μB per formula unit.


three:
This record from Alexandria via LeMat-Bulk describes a relaxed structure of PuNpH2. The functional is PBE-GGA.

It has space group R-3m (No. 166, hexagonal axes), with a = 2.9874 Å, b = 2.9874 Å, c = 21.6881 Å, α = 90.00°, β = 90.00° and γ = 120.00°. The inequivalent atoms are Pu at (0.0000, 0.0000, 0.0000), Np at (0.0000, 0.0000, 0.5000) and H at (0.0000, 0.0000, 0.1009).

The value obtained for the total magnetic moment is 1.24 μB per formula unit.


Which of them is the least stable? Correct choice: two.


one:
This record from Alexandria via LeMat-Bulk describes a relaxed structure of NpHRh. The functional is PBE-GGA.

It has space group P-6m2 (No. 187), with a = 3.8119 Å, b = 3.8119 Å, c = 3.5545 Å, α = 90.00°, β = 90.00° and γ = 120.00°. The inequivalent atoms are Np at (0.0000, 0.0000, 0.0000), H at (0.3333, 0.6667, 0.5000) and Rh at (0.6667, 0.3333, 0.5000).

The value obtained for the total magnetic moment is 3.49 μB per formula unit.


two:
This record from Alexandria via LeMat-Bulk describes a relaxed structure of NpHRh. The functional is PBE-GGA.

It has space group Pnma (No. 62), with a = 6.3370 Å, b = 4.7927 Å, c = 5.6150 Å, α = 90.00°, β = 90.00° and γ = 90.00°. The inequivalent atoms are Np at (0.1372, 0.2500, 0.0920), H at (0.1405, 0.7500, 0.2233) and Rh at (0.1012, 0.2500, 0.5877).

The value obtained for the total magnetic moment is 3.80 μB per formula unit.


Which of them is the least stable? Correct choice: one.